LiTaIn2 | Alexandria | PBE-GGA | relaxed; M_tot = 0.00 μB per formula unit; calculated formation energy = 0.232 eV/atom; energy above the lowest structure with this stoichiometry = 228.1 meV per atom; crystal system = monoclinic
1.0
-0.7694 0.9452 -4.7662
-3.3308 -0.0756 -3.6197
-1.9570 5.5625 0.5807
In Li Ta
2 1 1
Cartesian
-1.9568 5.5488 0.5689 In
-3.0288 3.2298 -3.8908 In
-4.5430 4.8241 -5.8539 Li
-1.5143 1.6080 -1.9513 Ta

---

LiTaIn2 | Alexandria | PBE-GGA | relaxed; M_tot = 0.04 μB per formula unit; calculated formation energy = 0.082 eV/atom; energy above the lowest structure with this stoichiometry = 78.1 meV per atom; crystal system = trigonal
1.0
-5.7743 -7.9841 -1.0204
-3.0650 -9.2359 -1.8532
-3.8353 -9.0616 1.1431
In Li Ta
2 1 1
Cartesian
-0.0177 -0.0367 -0.0024 In
-6.3196 -13.1041 -0.8628 In
-9.5060 -19.7112 -1.2979 Li
-3.1687 -6.5704 -0.4326 Ta

---

LiTa2In2 | Alexandria | PBE-GGA | relaxed; M_tot = 0.00 μB per formula unit; calculated formation energy = 0.848 eV/atom; crystal system = tetragonal
1.0
-2.0875 2.0875 6.5414
2.0875 -2.0875 6.5414
2.0875 2.0875 -6.5414
Li Ta In
1 2 2
Cartesian
0.0000 0.0000 0.0000 Li
0.0000 0.0000 7.7479 Ta
0.0000 0.0000 5.3348 Ta
2.0875 0.0000 3.2707 In
0.0000 2.0875 3.2707 In

---

Li3TaIn | Alexandria | PBE-GGA | relaxed; M_tot = 1.03 μB per formula unit; calculated formation energy = 1.060 eV/atom; energy above the lowest structure with this stoichiometry = 0.0 meV per atom; crystal system = cubic
1.0
4.6070 0.0000 0.0000
0.0000 4.6070 0.0000
0.0000 0.0000 4.6070
In Li Ta
1 3 1
Cartesian
0.0000 0.0000 0.0000 In
0.0000 2.3035 0.0000 Li
0.0000 0.0000 2.3035 Li
2.3035 0.0000 0.0000 Li
2.3035 2.3035 2.3035 Ta

---

Question: Among the records above, which one has the lowest calculated formation energy?
Answer: number 2

---

Question: Look up the M_tot of the second one.
Answer: 0.04 μB per formula unit

---

Question: Which of these has the highest calculated formation energy?
Answer: Li3TaIn